No. 1
Here is an optimized crystal structure of CeY12Ho7 from the Alexandria database. Energies are from PBE.

abc: 9.8232 9.8232 9.8232
angles: 109.47 109.47 109.47
Positions (direct):
Ce1 0.0000 0.0000 0.0000
Y1 0.4889 0.7447 0.7442
Y2 0.0005 0.7447 0.2558
Y3 0.5111 0.2553 0.2558
Y4 0.9995 0.2553 0.7442
Y5 0.7442 0.9995 0.2553
Y6 0.7442 0.4889 0.7447
Y7 0.2558 0.0005 0.7447
Y8 0.2558 0.5111 0.2553
Y9 0.7447 0.7442 0.4889
Y10 0.2553 0.2558 0.5111
Y11 0.7447 0.2558 0.0005
Y12 0.2553 0.7442 0.9995
Ho1 0.5000 0.5000 0.0000
Ho2 0.0000 0.5000 0.5000
Ho3 0.5000 0.0000 0.5000
Ho4 0.5000 0.5000 0.5000
Ho5 0.0000 0.0000 0.5000
Ho6 0.5000 0.0000 0.0000
Ho7 0.0000 0.5000 0.0000

Calculated values
**E_form**: 0.7185 eV/atom
**Total magnetic moment**: 0.067 μB/atom

No. 2
Here is an optimized crystal structure of La4PaP5 from the Alexandria database. Energies are from PBE.

abc: 5.9366 7.2764 7.2764
angles: 80.42 65.92 65.92
Positions (direct):
La1 0.4036 0.3985 0.7965
La2 0.8021 0.7965 0.6015
La3 0.2001 0.2035 0.3985
La4 0.5986 0.6015 0.2035
Pa1 0.0010 0.0000 0.0000
P1 0.9070 0.3772 0.8109
P2 0.2842 0.8109 0.6228
P3 0.7179 0.1891 0.3772
P4 0.0951 0.6228 0.1891
P5 0.5008 0.0000 0.0000

Calculated values
**E_form**: -1.5212 eV/atom
**Total magnetic moment**: 0.000 μB/atom

No. 3
Here is an optimized crystal structure of Sc4Bi2AsP from the Alexandria database. Energies are from PBE.

abc: 3.9536 6.8748 7.2036
angles: 108.43 90.00 90.00
Positions (direct):
Sc1 0.5000 0.2318 0.2117
Sc2 0.5000 0.7682 0.7883
Sc3 0.0000 0.2563 0.7850
Sc4 0.0000 0.7437 0.2150
Bi1 0.5000 0.0000 0.5000
Bi2 0.0000 0.5000 0.5000
As1 0.5000 0.5000 0.0000
P1 0.0000 0.0000 0.0000

Calculated values
**E_form**: -1.0232 eV/atom
**Total magnetic moment**: 0.000 μB/atom

No. 4
Here is an optimized crystal structure of HfInSi from the Alexandria database. Energies are from PBE.

abc: 3.9632 14.8928 3.9240
angles: 90.00 90.00 90.00
Positions (direct):
Si1 0.0000 0.9425 0.2500
Si2 0.0000 0.0575 0.7500
Si3 0.5000 0.4425 0.2500
Si4 0.5000 0.5575 0.7500
Hf1 0.0000 0.5856 0.2500
Hf2 0.0000 0.4144 0.7500
Hf3 0.5000 0.0856 0.2500
Hf4 0.5000 0.9144 0.7500
In1 0.0000 0.2539 0.2500
In2 0.0000 0.7461 0.7500
In3 0.5000 0.7539 0.2500
In4 0.5000 0.2461 0.7500

Calculated values
**Total magnetic moment**: 0.000 μB/atom
**Raw formation energy**: -0.299 eV/atom

No. 5
Here is an optimized crystal structure of LiTeP from the Alexandria database. Energies are from PBE.

abc: 3.8293 7.4925 10.1106
angles: 90.00 90.00 90.00
Positions (direct):
P1 0.2500 0.0514 0.6945
P2 0.7500 0.4486 0.1945
P3 0.7500 0.9486 0.3055
P4 0.2500 0.5514 0.8055
Te1 0.2500 0.2107 0.1675
Te2 0.7500 0.2893 0.6675
Te3 0.7500 0.7893 0.8325
Te4 0.2500 0.7107 0.3325
Li1 0.2500 0.1343 0.4472
Li2 0.7500 0.3657 0.9472
Li3 0.7500 0.8657 0.5528
Li4 0.2500 0.6343 0.0528

Calculated values
**Total magnetic moment**: 0.000 μB/atom
**Raw formation energy**: -0.165 eV/atom

No. 6
Here is an optimized crystal structure of Li2CdIr from the Alexandria database. Energies are from PBE.

abc: 4.8438 4.8438 2.7292
angles: 90.00 90.00 108.80
Positions (direct):
Cd1 0.5000 0.0000 0.5000
Ir1 0.0000 0.5000 0.5000
Li1 0.0000 0.0000 0.0000
Li2 0.5000 0.5000 0.0000

Calculated values
**E_form**: -0.0712 eV/atom
**Total magnetic moment**: 0.000 μB/atom

No. 7
Here is an optimized crystal structure of Mg2Ga9Hg from the Alexandria database. Energies are from PBE.

abc: 4.2400 4.2400 12.8850
angles: 90.00 90.00 90.00
Positions (direct):
Mg1 0.0000 0.0000 0.3413
Mg2 0.0000 0.0000 0.6587
Ga1 0.5000 0.5000 0.0000
Ga2 0.5000 0.5000 0.3444
Ga3 0.5000 0.5000 0.6556
Ga4 0.5000 0.0000 0.1784
Ga5 0.5000 0.0000 0.5000
Ga6 0.5000 0.0000 0.8216
Ga7 0.0000 0.5000 0.1784
Ga8 0.0000 0.5000 0.5000
Ga9 0.0000 0.5000 0.8216
Hg1 0.0000 0.0000 0.0000

Calculated values
**E_form**: -0.0270 eV/atom
**Total magnetic moment**: 0.000 μB/atom

No. 8
Here is an optimized crystal structure of Ca2LaFe from the Alexandria database. Energies are from PBE.

abc: 6.1182 6.1182 3.5579
angles: 90.00 90.00 113.37
Positions (direct):
Ca1 0.0000 0.0000 0.0000
Ca2 0.5000 0.5000 0.0000
Fe1 0.5000 0.0000 0.5000
La1 0.0000 0.5000 0.5000

Calculated values
**E_form**: 0.5763 eV/atom
**Total magnetic moment**: 0.600 μB/atom

No. 9
Here is an optimized crystal structure of Ce5PuGe2Ru from the Alexandria database. Energies are from PBE.

abc: 4.6626 9.1124 10.2928
angles: 90.00 90.00 104.82
Positions (direct):
Ce1 0.3584 0.7169 0.0263
Ce2 0.7412 0.4823 0.8203
Ce3 0.5128 0.0255 0.7655
Ce4 0.3137 0.6273 0.6638
Ce5 0.9610 0.9221 0.5288
Ce6 0.6416 0.2831 0.5263
Ce7 0.2588 0.5177 0.3203
Ce8 0.4872 0.9745 0.2655
Ce9 0.6863 0.3727 0.1638
Ce10 0.0390 0.0779 0.0288
Pu1 0.6038 0.2076 0.9568
Pu2 0.3962 0.7924 0.4568
Ge1 0.9065 0.8129 0.8253
Ge2 0.1315 0.2629 0.7557
Ge3 0.0935 0.1871 0.3253
Ge4 0.8685 0.7371 0.2557
Ru1 0.7785 0.5570 0.4814
Ru2 0.2215 0.4430 0.9814

Calculated values
**E_form**: -0.4444 eV/atom
**Total magnetic moment**: 0.420 μB/atom

No. 10
Here is an optimized crystal structure of Re3Mo2 from the Alexandria database. Energies are from PBE.

abc: 9.6191 9.6191 5.0355
angles: 90.00 90.00 90.10
Positions (direct):
Re1 0.1001 0.1001 0.4983
Re2 0.8999 0.8999 0.4983
Re3 0.5977 0.4023 0.0036
Re4 0.4023 0.5977 0.0036
Re5 0.7611 0.4328 0.5018
Re6 0.2389 0.5672 0.5018
Re7 0.2607 0.0650 0.9980
Re8 0.7393 0.9350 0.9980
Re9 0.5672 0.2389 0.5018
Re10 0.4328 0.7611 0.5018
Re11 0.9350 0.7393 0.9980
Re12 0.0650 0.2607 0.9980
Re13 0.8167 0.1833 0.7492
Re14 0.1833 0.8167 0.7492
Re15 0.6851 0.6851 0.7483
Re16 0.3149 0.3149 0.7483
Re17 0.1833 0.8167 0.2510
Re18 0.8167 0.1833 0.2510
Mo1 0.0352 0.3662 0.4990
Mo2 0.9648 0.6338 0.4990
Mo3 0.5365 0.1334 0.0000
Mo4 0.4635 0.8666 0.0000
Mo5 0.6338 0.9648 0.4990
Mo6 0.3662 0.0352 0.4990
Mo7 0.8666 0.4635 0.0000
Mo8 0.1334 0.5365 0.0000
Mo9 0.5000 0.5000 0.5078
Mo10 0.0000 0.0000 0.0001
Mo11 0.3159 0.3159 0.2480
Mo12 0.6841 0.6841 0.2480

Calculated values
**E_form**: 0.0641 eV/atom
**Total magnetic moment**: 0.000 μB/atom

No. 11
Here is an optimized crystal structure of LaCoP2Rh from the Alexandria database. Energies are from PBE.

abc: 4.0367 4.0367 5.7721
angles: 110.47 110.47 90.00
Positions (direct):
La1 0.0000 0.0000 0.0000
Co1 0.2500 0.7500 0.5000
P1 0.6289 0.6289 0.2578
P2 0.3711 0.3711 0.7422
Rh1 0.7500 0.2500 0.5000

Calculated values
**E_form**: -0.9918 eV/atom
**Total magnetic moment**: 0.270 μB/atom

No. 12
Here is an optimized crystal structure of Cu5Pt8Rh from the Alexandria database. Energies are from PBE.

abc: 6.5150 6.5150 6.5150
angles: 109.51 109.40 109.51
Positions (direct):
Cu1 0.0267 0.3264 0.1148
Cu2 0.8852 0.9119 0.2116
Cu3 0.7884 0.6736 0.7003
Cu4 0.5000 0.0000 0.5000
Cu5 0.2997 0.0881 0.9733
Pt1 0.1348 0.7220 0.0690
Pt2 0.9310 0.0658 0.6530
Pt3 0.7570 0.2684 0.3567
Pt4 0.6433 0.4003 0.9117
Pt5 0.5113 0.5997 0.2430
Pt6 0.5872 0.9342 0.8652
Pt7 0.3470 0.2780 0.4128
Pt8 0.0883 0.7316 0.4887
Rh1 0.2500 0.5000 0.7500

Calculated values
**E_form**: 0.1519 eV/atom
**Total magnetic moment**: 0.091 μB/atom